! RbLi2VO4, relaxed, DFT PBE+U; values from VASP
! Final energy   -48.1 eV per cell
! SG   I-42m
! Crystal system   tetragonal
&SYSTEM
  ibrav = 0, nat = 8, ntyp = 4
/
ATOMIC_SPECIES
V 50.94 V.upf
Li 6.94 Li.upf
Rb 85.47 Rb.upf
O 16.00 O.upf
CELL_PARAMETERS angstrom
-3.405 -3.599 2.092
0.340 -2.700 -4.638
4.530 1.126 2.671
ATOMIC_POSITIONS crystal
V 0.000 0.000 0.000
Li 0.750 0.250 0.500
Li 0.250 0.750 0.500
Rb 0.500 0.500 0.000
O 0.961 0.322 0.000
O 0.039 0.039 0.361
O 0.322 0.961 0.000
O 0.678 0.678 0.639